#a
# ReSbNO

Crystalline ReSbNO at its relaxed geometry (PBE, the Open Quantum Materials Database).

Lattice parameters (Å, degrees): 6.706 6.356 5.743 90.00 90.00 90.00
Space group Pca2_1 (No. 29)
Symmetry-distinct sites (fractional):
Re 0.113 0.019 0.000 [4 per cell]
Sb 0.210 0.602 0.952 [4 per cell]
N 0.138 0.030 0.665 [4 per cell]
O 0.030 0.333 0.017 [4 per cell]

#b
# ReSbNO

Crystalline ReSbNO at its relaxed geometry (PBE, the Open Quantum Materials Database).

Lattice parameters (Å, degrees): 3.879 3.879 7.555 90.00 90.00 90.00
Space group P4/nmm (No. 129, origin choice 2)
Symmetry-distinct sites (fractional):
Re 0.250 0.750 0.000 [2 per cell]
Sb 0.250 0.250 0.341 [2 per cell]
N 0.250 0.250 0.900 [2 per cell]
O 0.250 0.750 0.500 [2 per cell]

The most stable arrangement is #a, and the next structure is 235 meV/atom less stable.

#a
# ReSbNO

Crystalline ReSbNO at its relaxed geometry (PBE, the Open Quantum Materials Database).

Lattice parameters (Å, degrees): 3.004 6.268 6.568 90.00 90.00 90.00
Space group Pmc2_1 (No. 26)
Symmetry-distinct sites (fractional):
Re 0.000 0.088 0.000 [2 per cell]
Sb 0.500 0.294 0.461 [2 per cell]
N 0.000 0.124 0.723 [2 per cell]
O 0.500 0.266 0.121 [2 per cell]

#b
# ReSbNO

Crystalline ReSbNO at its relaxed geometry (PBE, the Open Quantum Materials Database).

Lattice parameters (Å, degrees): 5.703 6.467 5.641 90.00 90.00 90.00
Space group Cmme (No. 67)
Symmetry-distinct sites (fractional):
Re 0.000 0.250 0.054 [4 per cell]
Sb 0.250 0.000 0.500 [4 per cell]
N 0.000 0.250 0.731 [4 per cell]
O 0.250 0.000 0.000 [4 per cell]

#c
# ReSbNO

Crystalline ReSbNO at its relaxed geometry (PBE, the Open Quantum Materials Database).

Lattice parameters (Å, degrees): 4.298 4.298 5.768 90.00 90.00 90.00
Space group P4/nmm (No. 129, origin choice 2)
Symmetry-distinct sites (fractional):
Re 0.250 0.250 0.042 [2 per cell]
Sb 0.250 0.750 0.500 [2 per cell]
N 0.250 0.250 0.728 [2 per cell]
O 0.250 0.750 0.000 [2 per cell]

#d
# ReSbNO

Crystalline ReSbNO at its relaxed geometry (PBE, the Open Quantum Materials Database).

Lattice parameters (Å, degrees): 2.927 5.888 7.197 90.00 90.00 90.00
Space group Pmc2_1 (No. 26)
Symmetry-distinct sites (fractional):
Re 0.000 0.021 0.000 [2 per cell]
Sb 0.500 0.369 0.640 [2 per cell]
N 0.500 0.224 0.916 [2 per cell]
O 0.000 0.112 0.254 [2 per cell]

The most stable arrangement is #d, and the next structure is 104 meV/atom less stable.

#a
# ReSiNO

Crystalline ReSiNO at its relaxed geometry (PBE, the Open Quantum Materials Database).

Lattice parameters (Å, degrees): 3.683 3.683 7.877 90.00 90.00 90.00
Space group P4/nmm (No. 129, origin choice 2)
Symmetry-distinct sites (fractional):
Re 0.250 0.750 0.000 [2 per cell]
Si 0.250 0.250 0.386 [2 per cell]
N 0.250 0.250 0.886 [2 per cell]
O 0.250 0.750 0.500 [2 per cell]

#b
# ReSiNO

Crystalline ReSiNO at its relaxed geometry (PBE, the Open Quantum Materials Database).

Lattice parameters (Å, degrees): 2.995 5.416 5.049 90.00 90.00 90.00
Space group Pmc2_1 (No. 26)
Symmetry-distinct sites (fractional):
Re 0.000 0.092 0.000 [2 per cell]
Si 0.500 0.322 0.554 [2 per cell]
N 0.500 0.362 0.903 [2 per cell]
O 0.000 0.280 0.369 [2 per cell]

The most stable arrangement is #b, and the next structure is 454 meV/atom less stable.

#a
# ReSiNO

Crystalline ReSiNO at its relaxed geometry (PBE, the Open Quantum Materials Database).

Lattice parameters (Å, degrees): 2.789 7.262 4.845 90.00 90.00 90.00
Space group Pmc2_1 (No. 26)
Symmetry-distinct sites (fractional):
Re 0.000 0.009 0.000 [2 per cell]
Si 0.500 0.372 0.332 [2 per cell]
N 0.000 0.243 0.265 [2 per cell]
O 0.500 0.438 0.654 [2 per cell]

#b
# ReSiNO

Crystalline ReSiNO at its relaxed geometry (PBE, the Open Quantum Materials Database).

Lattice parameters (Å, degrees): 3.614 3.614 6.798 90.00 90.00 90.00
Space group P4/nmm (No. 129, origin choice 2)
Symmetry-distinct sites (fractional):
Re 0.250 0.250 0.178 [2 per cell]
Si 0.250 0.750 0.500 [2 per cell]
N 0.250 0.250 0.480 [2 per cell]
O 0.250 0.750 0.000 [2 per cell]

#c
# ReSiNO

Crystalline ReSiNO at its relaxed geometry (PBE, the Open Quantum Materials Database).

Lattice parameters (Å, degrees): 5.364 7.407 4.966 90.00 90.00 90.00
Space group Pca2_1 (No. 29)
Symmetry-distinct sites (fractional):
Re 0.109 0.030 0.000 [4 per cell]
Si 0.157 0.712 0.037 [4 per cell]
N 0.114 0.192 0.661 [4 per cell]
O 0.182 0.593 0.760 [4 per cell]

The most stable arrangement is #a, and the next structure is 40 meV/atom less stable.

#a
# ReSnNO

Crystalline ReSnNO at its relaxed geometry (PBE, the Open Quantum Materials Database).

Lattice parameters (Å, degrees): 4.059 4.059 8.736 90.00 90.00 90.00
Space group P4/nmm (No. 129, origin choice 2)
Symmetry-distinct sites (fractional):
Re 0.250 0.250 0.078 [2 per cell]
Sn 0.250 0.750 0.500 [2 per cell]
N 0.250 0.250 0.275 [2 per cell]
O 0.250 0.750 0.000 [2 per cell]

#b
# ReSnNO

Crystalline ReSnNO at its relaxed geometry (PBE, the Open Quantum Materials Database).

Lattice parameters (Å, degrees): 6.820 7.584 4.918 90.00 90.00 90.00
Space group Pca2_1 (No. 29)
Symmetry-distinct sites (fractional):
Re 0.040 0.059 0.000 [4 per cell]
Sn 0.064 0.676 0.963 [4 per cell]
N 0.198 0.056 0.663 [4 per cell]
O 0.111 0.714 0.470 [4 per cell]

The most stable arrangement is #b, and the next structure is 552 meV/atom less stable.

#a
# TlReNO

Crystalline TlReNO at its relaxed geometry (PBE, the Open Quantum Materials Database).

Lattice parameters (Å, degrees): 3.496 6.527 6.433 90.00 90.00 90.00
Space group Pmc2_1 (No. 26)
Symmetry-distinct sites (fractional):
Tl 0.000 0.157 0.000 [2 per cell]
Re 0.500 0.379 0.491 [2 per cell]
N 0.500 0.429 0.773 [2 per cell]
O 0.000 0.265 0.436 [2 per cell]

#b
# TlReNO

Crystalline TlReNO at its relaxed geometry (PBE, the Open Quantum Materials Database).

Lattice parameters (Å, degrees): 4.437 4.437 5.515 90.00 90.00 90.00
Space group P4/nmm (No. 129, origin choice 2)
Symmetry-distinct sites (fractional):
Tl 0.250 0.750 0.000 [2 per cell]
Re 0.250 0.250 0.454 [2 per cell]
N 0.250 0.250 0.770 [2 per cell]
O 0.250 0.750 0.500 [2 per cell]

The most stable arrangement is #a, and the next structure is 763 meV/atom less stable.

#a
# TlReNO

Crystalline TlReNO at its relaxed geometry (PBE, the Open Quantum Materials Database).

Lattice parameters (Å, degrees): 3.905 3.905 7.485 90.00 90.00 90.00
Space group P4/nmm (No. 129, origin choice 2)
Symmetry-distinct sites (fractional):
Tl 0.250 0.250 0.155 [2 per cell]
Re 0.250 0.750 0.500 [2 per cell]
N 0.250 0.250 0.596 [2 per cell]
O 0.250 0.750 0.000 [2 per cell]

#b
# TlReNO

Crystalline TlReNO at its relaxed geometry (PBE, the Open Quantum Materials Database).

Lattice parameters (Å, degrees): 6.184 8.871 4.997 90.00 90.00 90.00
Space group Pca2_1 (No. 29)
Symmetry-distinct sites (fractional):
Tl 0.069 0.144 0.000 [4 per cell]
Re 0.155 0.627 0.010 [4 per cell]
N 0.071 0.813 0.000 [4 per cell]
O 0.077 0.506 0.651 [4 per cell]

#c
# TlReNO

Crystalline TlReNO at its relaxed geometry (PBE, the Open Quantum Materials Database).

Lattice parameters (Å, degrees): 4.126 4.126 8.944 90.00 90.00 90.00
Space group P4/nmm (No. 129, origin choice 2)
Symmetry-distinct sites (fractional):
Tl 0.250 0.750 0.000 [2 per cell]
Re 0.250 0.250 0.427 [2 per cell]
N 0.250 0.250 0.238 [2 per cell]
O 0.250 0.750 0.500 [2 per cell]

#d
# TlReNO

Crystalline TlReNO at its relaxed geometry (PBE, the Open Quantum Materials Database).

Lattice parameters (Å, degrees): 3.590 6.808 5.462 90.00 90.00 90.00
Space group Pmc2_1 (No. 26)
Symmetry-distinct sites (fractional):
Tl 0.000 0.119 0.000 [2 per cell]
Re 0.500 0.434 0.396 [2 per cell]
N 0.000 0.357 0.394 [2 per cell]
O 0.500 0.311 0.747 [2 per cell]

The most stable arrangement is #d, and the next structure is 86 meV/atom less stable.

#a
# TmReNO

Crystalline TmReNO at its relaxed geometry (PBE, the Open Quantum Materials Database).

Lattice parameters (Å, degrees): 3.421 6.010 5.799 90.00 90.00 90.00
Space group Pmc2_1 (No. 26)
Symmetry-distinct sites (fractional):
Tm 0.000 0.180 0.000 [2 per cell]
Re 0.500 0.233 0.530 [2 per cell]
N 0.000 0.215 0.388 [2 per cell]
O 0.500 0.360 0.841 [2 per cell]

#b
# TmReNO

Crystalline TmReNO at its relaxed geometry (PBE, the Open Quantum Materials Database).

Lattice parameters (Å, degrees): 3.385 3.385 4.242 90.00 90.00 90.00
Space group P4/mmm (No. 123)
Symmetry-distinct sites (fractional):
Tm 0.000 0.000 0.000 [1 per cell]
Re 0.500 0.500 0.500 [1 per cell]
N 0.500 0.500 0.000 [1 per cell]
O 0.000 0.000 0.500 [1 per cell]

#c
# TmReNO

Crystalline TmReNO at its relaxed geometry (PBE, the Open Quantum Materials Database).

Lattice parameters (Å, degrees): 5.425 8.191 4.940 90.00 90.00 90.00
Space group Pca2_1 (No. 29)
Symmetry-distinct sites (fractional):
Tm 0.012 0.155 0.000 [4 per cell]
Re 0.121 0.515 0.182 [4 per cell]
N 0.106 0.658 0.851 [4 per cell]
O 0.141 0.067 0.625 [4 per cell]

The most stable arrangement is #c, and the next structure is 546 meV/atom less stable.